Compound: Ba2HgCl
Source: Alexandria via LeMat-Bulk
Functional: PBE
Structure: optimized geometry

- E_form (uncorrected): -1.8 eV/f.u.
- Symmetry: No. 216

Lattice parameters (Å, degrees): 5.880 5.880 5.880 60.00 60.00 60.00
Fractional coordinates of all 4 atoms:
Cl 0.500 0.500 0.500
Hg 0.750 0.750 0.750
Ba 0.000 0.000 0.000
Ba 0.250 0.250 0.250


Compound: BaHg2Cl
Source: Alexandria via LeMat-Bulk
Functional: PBE
Structure: optimized geometry

- E_form (uncorrected): -3.8 eV/f.u.
- Symmetry: No. 99

Lattice parameters (Å, degrees): 4.302 4.302 7.136 90.00 90.00 90.00
Fractional coordinates of all 4 atoms:
Cl 0.500 0.500 0.679
Hg 0.000 0.000 0.057
Hg 0.500 0.500 0.206
Ba 0.000 0.000 0.557


Compound: Ba4HgCl
Source: Alexandria via LeMat-Bulk
Functional: PBE
Structure: optimized geometry

- E_form (uncorrected): 0.2 eV/f.u.
- Symmetry: No. 216

Lattice parameters (Å, degrees): 7.593 7.593 7.593 60.00 60.00 60.00
Each line ends with the local moment (μB).
Fractional coordinates of all 6 atoms:
Ba 0.876 0.375 0.375  0.07
Ba 0.375 0.375 0.876  0.07
Ba 0.375 0.876 0.375  0.07
Ba 0.375 0.375 0.375  0.07
Hg 0.000 0.000 0.000  0.03
Cl 0.750 0.750 0.750  0.01